The following is a PBE calculation of crystalline PmSm5Mg at its relaxed geometry, from Alexandria via LeMat-Bulk.

Values from the calculation:
E_form: 98.5 meV/atom
electronic total energy: -117.005 eV/cell

Unit cell a=8.6920 b=9.6973 c=11.8169 alpha=90.00 beta=111.34 gamma=90.00
Closest atoms and distances in Å follow each position.
Space group C2/c (No. 15)
Unique sites:
Pm 0.0000 0.2464 0.2500 x4  9 Sm 3.42-3.61
Sm 0.0000 0.1085 0.7500 x4  2 Mg 3.26, 6 Sm 3.38-3.60, 1 Pm 3.44
Sm 0.1088 0.4319 0.6531 x8  8 Sm 3.43-3.82, 1 Mg 3.46, 2 Pm 3.57-3.61
Sm 0.1759 0.0873 0.5384 x8  5 Sm 3.32-3.71, 1 Mg 3.40, 2 Pm 3.42-3.54
Mg 0.2500 0.2500 0.0000 x4  6 Sm 3.26-3.46

---

The following is a PBE calculation of crystalline Pm2SmMg4 at its relaxed geometry, from Alexandria via LeMat-Bulk.

Values from the calculation:
E_form: 116.0 meV/atom
E above lowest polymorph: 0 meV/atom
electronic total energy: -39.573 eV/cell

Unit cell a=5.4462 b=5.4462 c=14.7697 alpha=90.00 beta=90.00 gamma=90.00
Closest atoms and distances in Å follow each position.
Space group I4/mmm (No. 139)
Unique sites:
Pm 0.0000 0.0000 0.2466 x4  8 Mg 3.34-3.40
Sm 0.0000 0.0000 0.5000 x2  8 Mg 3.22
Mg 0.0000 0.5000 0.1158 x8  2 Sm 3.22, 4 Pm 3.34-3.40, 1 Mg 3.42

---

The following is a PBE calculation of crystalline PmSm8Mg2 at its relaxed geometry, from Alexandria via LeMat-Bulk.

Values from the calculation:
E_form: 12.0 meV/atom
E above lowest polymorph: 0 meV/atom
electronic total energy: -91.122 eV/cell

Unit cell a=17.0618 b=5.3608 c=8.4530 alpha=90.00 beta=113.75 gamma=90.00
Closest atoms and distances in Å follow each position.
Space group C2/m (No. 12)
Unique sites:
Pm 0.0000 0.0000 0.0000 x2  8 Sm 3.37-3.62
Sm 0.0532 0.5000 0.7351 x4  1 Mg 3.40, 9 Sm 3.51-3.78
Sm 0.0993 0.0000 0.4683 x4  3 Mg 3.36-3.41, 1 Pm 3.62, 4 Sm 3.64-3.74
Sm 0.1478 0.5000 0.2036 x4  3 Mg 3.30-3.37, 5 Sm 3.56-3.67, 2 Pm 3.61
Sm 0.1867 0.0000 0.9507 x4  1 Mg 3.25, 5 Sm 3.33-3.56, 1 Pm 3.37
Mg 0.2255 0.5000 0.6293 x4  8 Sm 3.25-3.41

---

The following is a PBE calculation of crystalline Pm2SmMg at its relaxed geometry, from Alexandria via LeMat-Bulk.

Values from the calculation:
E_form: 194.7 meV/atom
E above lowest polymorph: 232 meV/atom
electronic total energy: -45.109 eV/cell

Unit cell a=3.5120 b=3.5120 c=37.6186 alpha=90.00 beta=90.00 gamma=120.00
Closest atoms and distances in Å follow each position.
Space group R-3m (No. 166, hexagonal axes)
Unique sites:
Pm 0.0000 0.0000 0.0887 x6  1 Mg 3.34, 6 Pm 3.51, 3 Sm 3.57
Sm 0.0000 0.0000 0.5000 x3  6 Sm 3.51, 6 Pm 3.57
Mg 0.0000 0.0000 0.0000 x3  2 Pm 3.34, 6 Mg 3.51

---

The following is a PBE calculation of crystalline Pm2Sm5Mg at its relaxed geometry, from Alexandria via LeMat-Bulk.

Values from the calculation:
E_form: 3.2 meV/atom
E above lowest polymorph: 0 meV/atom
electronic total energy: -69.332 eV/cell

Unit cell a=7.1526 b=7.1526 c=10.1496 alpha=90.00 beta=90.00 gamma=90.00
Closest atoms and distances in Å follow each position.
Space group I4/mmm (No. 139)
Unique sites:
Pm 0.0000 0.5000 0.0000 x4  2 Mg 3.58, 10 Sm 3.58
Sm 0.0000 0.0000 0.0000 x2  4 Pm 3.58, 8 Sm 3.58
Sm 0.2500 0.2500 0.2500 x8  6 Sm 3.58, 2 Mg 3.58, 4 Pm 3.58
Mg 0.0000 0.0000 0.5000 x2  4 Pm 3.58, 8 Sm 3.58

---

The following is a PBE calculation of crystalline Pm12Sm3Mg at its relaxed geometry, from Alexandria via LeMat-Bulk.

Values from the calculation:
E_form: 13.8 meV/atom
electronic total energy: -72.539 eV/cell

Unit cell a=5.1169 b=5.1169 c=20.5389 alpha=90.00 beta=90.00 gamma=90.00
Closest atoms and distances in Å follow each position.
Space group P4/mmm (No. 123)
Unique sites:
Pm 0.0000 0.0000 0.0000 x1  8 Pm 3.58, 4 Mg 3.62
Pm 0.0000 0.0000 0.2455 x2  8 Pm 3.60-3.67, 4 Sm 3.62
Pm 0.0000 0.0000 0.5000 x1  4 Sm 3.62, 8 Pm 3.64
Pm 0.0000 0.5000 0.1222 x4  2 Mg 3.58, 8 Pm 3.58-3.62, 2 Sm 3.63
Pm 0.0000 0.5000 0.3737 x4  8 Pm 3.62-3.67, 4 Sm 3.64-3.65
Sm 0.5000 0.5000 0.2473 x2  12 Pm 3.62-3.65
Sm 0.5000 0.5000 0.5000 x1  12 Pm 3.62-3.64
Mg 0.5000 0.5000 0.0000 x1  12 Pm 3.58-3.62

---

no.,total moment (μB per atom)
1,0.000
2,0.000
3,0.000
4,0.000
5,0.000
6,0.000